Compound: Nd4TlCd3
Source: Alexandria
Functional: GGA-PBE
Structure: relaxed

The structure belongs to space group Fmmm (No. 69); the cell edges are 7.6874, 7.7057 and 15.6890 Å and the angles 90.00°, 90.00° and 90.00°. The distinct sites, in fractional coordinates, are Nd at (0.2500, 0.2500, 0.1264), Tl at (0.0000, 0.0000, 0.0000), Cd at (0.0000, 0.0000, 0.2506) and Cd at (0.0000, 0.0000, 0.5000).

As for the calculated formation energy: -333.9 meV/atom. The value obtained for the final energy is -3.357 eV/atom.

Compound: Nd2TlCd
Source: Alexandria
Functional: GGA-PBE
Structure: relaxed

The structure belongs to space group Fm-3m (No. 225); the cell edges are 7.7747, 7.7747 and 7.7747 Å and the angles 90.00°, 90.00° and 90.00°. The distinct sites, in fractional coordinates, are Nd at (0.2500, 0.2500, 0.2500), Tl at (0.0000, 0.0000, 0.0000) and Cd at (0.0000, 0.0000, 0.5000).

As for the calculated formation energy: -360.9 meV/atom. The value obtained for the final energy is -3.565 eV/atom.

Compound: Nd2TlCd
Source: Alexandria
Functional: GGA-PBE
Structure: relaxed

The structure belongs to space group P4/mmm (No. 123); the cell edges are 5.4825, 5.4825 and 3.9055 Å and the angles 90.00°, 90.00° and 90.00°. The distinct sites, in fractional coordinates, are Nd at (0.0000, 0.5000, 0.0000), Tl at (0.0000, 0.0000, 0.5000) and Cd at (0.5000, 0.5000, 0.5000).

As for the calculated formation energy: -350.5 meV/atom. The value obtained for the final energy is -3.555 eV/atom.

Compound: Nd3Tl2Cd3
Source: Alexandria
Functional: GGA-PBE
Structure: relaxed

The structure belongs to space group C2/m (No. 12); the cell edges are 19.4229, 4.5945 and 5.1950 Å and the angles 90.00°, 105.38° and 90.00°. The distinct sites, in fractional coordinates, are Nd at (0.0000, 0.0000, 0.0000), Nd at (0.1351, 0.0000, 0.6340), Tl at (0.2406, 0.0000, 0.2396), Cd at (0.0000, 0.5000, 0.5000) and Cd at (0.1244, 0.5000, 0.1227).

As for the calculated formation energy: -261.4 meV/atom. The value obtained for the final energy is -2.984 eV/atom.

Compound: Nd5TlCd4
Source: Alexandria
Functional: GGA-PBE
Structure: relaxed

The structure belongs to space group P4/mmm (No. 123); the cell edges are 3.8457, 3.8457 and 19.5918 Å and the angles 90.00°, 90.00° and 90.00°. The distinct sites, in fractional coordinates, are Nd at (0.0000, 0.0000, 0.0000), Nd at (0.0000, 0.0000, 0.1980), Nd at (0.0000, 0.0000, 0.3958), Tl at (0.5000, 0.5000, 0.5000), Cd at (0.5000, 0.5000, 0.0994) and Cd at (0.5000, 0.5000, 0.2960).

As for the calculated formation energy: -327.8 meV/atom. The value obtained for the final energy is -3.314 eV/atom.

Compound: Nd3TlCd5
Source: Alexandria
Functional: GGA-PBE
Structure: relaxed

The structure belongs to space group P6_3/mcm (No. 193); the cell edges are 9.2016, 9.2016 and 6.5456 Å and the angles 90.00°, 90.00° and 120.00°. The distinct sites, in fractional coordinates, are Nd at (0.0000, 0.3214, 0.2500), Tl at (0.0000, 0.0000, 0.0000), Cd at (0.0000, 0.3493, 0.7500) and Cd at (0.3333, 0.6667, 0.0000).

As for the calculated formation energy: -306.8 meV/atom. The value obtained for the final energy is -2.667 eV/atom.

Compound: Nd3Tl3Cd
Source: Alexandria
Functional: GGA-PBE
Structure: relaxed

The structure belongs to space group P6_3/m (No. 176); the cell edges are 9.3326, 9.3326 and 5.4871 Å and the angles 90.00°, 90.00° and 120.00°. The distinct sites, in fractional coordinates, are Nd at (0.0960, 0.4495, 0.2500), Tl at (0.0510, 0.2423, 0.7500) and Cd at (0.3333, 0.6667, 0.7500).

As for the calculated formation energy: -221.4 meV/atom. The value obtained for the final energy is -3.410 eV/atom.

Compound: Nd4Tl5Cd
Source: Alexandria
Functional: GGA-PBE
Structure: relaxed

The structure belongs to space group Pmmn (No. 59, origin choice 2); the cell edges are 8.5426, 10.5722 and 7.0802 Å and the angles 90.00°, 90.00° and 90.00°. The distinct sites, in fractional coordinates, are Nd at (0.0262, 0.2500, 0.2142), Nd at (0.2500, 0.5532, 0.4390), Tl at (0.0680, 0.0565, 0.8176), Tl at (0.2500, 0.7500, 0.0741) and Cd at (0.2500, 0.2500, 0.5783).

As for the calculated formation energy: -67.4 meV/atom. The value obtained for the final energy is -3.249 eV/atom.